This record from Alexandria describes Si2HgP after structural relaxation. The functional is PBE.

**Energy relative to the elements, uncorrected**: 0.38 eV/atom
**Uncorrected energy**: -3.761 eV per atom
**Energy relative to the lowest polymorph listed for this composition**: 0.124 eV/atom

Unit cell a=9.9573 b=3.2887 c=7.2324 alpha=90.00 beta=132.79 gamma=90.00
With the nearest neighbours (Å) after each atom.
Space group C2/m (No. 12)
Inequivalent atoms, fractional coordinates:
Si (0.1204, 0.0000, 0.4148) x4  2 P 2.35, 2 Si 2.56
Hg (0.0000, 0.5000, 0.0000) x2  4 Si 2.87
P (0.0000, 0.5000, 0.5000) x2  4 Si 2.35

---

This record from Alexandria describes CoAsOs2 after structural relaxation. The functional is PBE.

**Formation energy from the elements**: 2.3 eV/f.u.
**Uncorrected energy**: -7.975 eV per atom

Unit cell a=6.1062 b=6.1062 c=6.1062 alpha=90.00 beta=90.00 gamma=90.00
With the nearest neighbours (Å) after each atom.
Space group F-43m (No. 216)
Inequivalent atoms, fractional coordinates:
Co (0.0000, 0.0000, 0.0000) x4  4 Os 2.64, 4 As 2.64
As (0.2500, 0.2500, 0.7500) x4  4 Co 2.64, 4 Os 2.64
Os (0.0000, 0.0000, 0.5000) x4  4 As 2.64, 4 Os 2.64
Os (0.2500, 0.2500, 0.2500) x4  4 Co 2.64, 4 Os 2.64

---

This record from Alexandria describes Be4SbW after structural relaxation. The functional is PBE.

**Energy relative to the elements, uncorrected**: 0.22 eV/atom
**Uncorrected energy**: -5.114 eV per atom

Unit cell a=6.5286 b=6.5286 c=6.5286 alpha=90.00 beta=90.00 gamma=90.00
With the nearest neighbours (Å) after each atom.
Space group F-43m (No. 216)
Inequivalent atoms, fractional coordinates:
Be (0.1198, 0.1198, 0.3802) x16  6 Be 2.21-2.40
Sb (0.0000, 0.0000, 0.0000) x4  12 Be 2.72, 4 W 2.83
W (0.2500, 0.2500, 0.7500) x4  12 Be 2.70, 4 Sb 2.83

---

This record from Alexandria describes LiTbNdZn after structural relaxation. The functional is PBE.

**Formation energy from the elements**: -0.4 eV/f.u.
**Uncorrected energy**: -3.256 eV per atom
**Energy relative to the lowest polymorph listed for this composition**: 0.010 eV/atom

Unit cell a=7.3529 b=7.3529 c=7.3529 alpha=90.00 beta=90.00 gamma=90.00
With the nearest neighbours (Å) after each atom.
Space group F-43m (No. 216)
Inequivalent atoms, fractional coordinates:
Li (0.0000, 0.0000, 0.0000) x4  4 Tb 3.18, 4 Nd 3.18
Tb (0.2500, 0.2500, 0.2500) x4  4 Li 3.18, 4 Zn 3.18
Nd (0.2500, 0.2500, 0.7500) x4  4 Li 3.18, 4 Zn 3.18
Zn (0.0000, 0.0000, 0.5000) x4  4 Tb 3.18, 4 Nd 3.18